Computed, not measured: CdOsS2 after structural relaxation at the PBE level of DFT.

Results
The density of states at the Fermi level is 1.4 states/eV/f.u. Its space group is No. 166. The total energy comes out at -5.15 eV/atom. Its energy relative to the elements, uncorrected is -0.050 eV/atom.

```
CdOsS2
1.0
2.067 0.000 7.559
-1.033 1.790 7.559
-1.033 -1.790 7.559
S Os Cd
2 1 1
Cartesian
0.000 0.000 20.061
0.000 0.000 2.616
0.000 0.000 11.338
0.000 0.000 0.000
```



Computed, not measured: MgZnMo2 after structural relaxation at the PBE level of DFT.

Results
The density of states at the Fermi level is 1.8 states/eV/f.u. The value obtained for the energy of formation from the pure elements is 127 meV per atom. Its space group is No. 35. The energy above the lowest structure with this stoichiometry comes out at 0 meV per atom. The total energy comes out at -6.01 eV/atom.

```
MgZnMo2
1.0
-1.383 0.201 2.369
1.234 -2.457 -0.037
7.326 3.620 3.970
Mg Mo Zn
1 2 1
Cartesian
5.413 1.583 4.140
0.080 0.040 0.043
1.750 -0.227 2.155
3.597 1.777 1.950
```



Please write out number 1 again, unchanged.
Computed, not measured: CdOsS2 after structural relaxation at the PBE level of DFT.

Results
The density of states at the Fermi level is 1.4 states/eV/f.u. Its space group is No. 166. The total energy comes out at -5.15 eV/atom. Its energy relative to the elements, uncorrected is -0.050 eV/atom.

```
CdOsS2
1.0
2.067 0.000 7.559
-1.033 1.790 7.559
-1.033 -1.790 7.559
S Os Cd
2 1 1
Cartesian
0.000 0.000 20.061
0.000 0.000 2.616
0.000 0.000 11.338
0.000 0.000 0.000
```



Q: density of states at the Fermi level of number 1 (CdOsS2)?
A: 1.4 states/eV/f.u.



Copy entry 1 word for word.
Computed, not measured: CdOsS2 after structural relaxation at the PBE level of DFT.

Results
The density of states at the Fermi level is 1.4 states/eV/f.u. Its space group is No. 166. The total energy comes out at -5.15 eV/atom. Its energy relative to the elements, uncorrected is -0.050 eV/atom.

```
CdOsS2
1.0
2.067 0.000 7.559
-1.033 1.790 7.559
-1.033 -1.790 7.559
S Os Cd
2 1 1
Cartesian
0.000 0.000 20.061
0.000 0.000 2.616
0.000 0.000 11.338
0.000 0.000 0.000
```



Q: Look up the density of states at the Fermi level of the first one.
A: 1.4 states/eV/f.u.